TaRe | SCAN | PBEsol geometry

ΔH_f (0 K)	-0.044	eV/atom

a b c (Å): 3.7800 3.7800 9.1035
angles (deg): 90.00 90.00 90.00
With the nearest neighbours (Å) after each atom.
Sites, in units of the cell vectors:
1 Ta 0.0000 0.2500 0.3750  8 Re 2.67-2.96, 4 Ta 2.96
2 Ta 0.0000 0.7500 0.6250  8 Re 2.67-2.96, 4 Ta 2.96
3 Ta 0.5000 0.2500 0.1250  8 Re 2.67-2.96, 4 Ta 2.96
4 Ta 0.5000 0.7500 0.8750  8 Re 2.67-2.96, 4 Ta 2.96
5 Re 0.0000 0.2500 0.8750  8 Ta 2.67-2.96, 4 Re 2.96
6 Re 0.0000 0.7500 0.1250  8 Ta 2.67-2.96, 4 Re 2.96
7 Re 0.5000 0.2500 0.6250  8 Ta 2.67-2.96, 4 Re 2.96
8 Re 0.5000 0.7500 0.3750  8 Ta 2.67-2.96, 4 Re 2.96


CaRu3 | SCAN | PBEsol geometry

ΔH_f (0 K)	0.395	eV/atom

a b c (Å): 2.7531 9.2241 4.8229
angles (deg): 90.00 90.00 90.00
With the nearest neighbours (Å) after each atom.
Sites, in units of the cell vectors:
1 Ca 0.0000 0.0000 0.0000  10 Ru 2.70-2.93, 2 Ca 2.75
2 Ca 0.5000 0.5000 0.5000  10 Ru 2.70-2.93, 2 Ca 2.75
3 Ru 0.0000 0.2273 0.3712  8 Ru 2.61-2.81, 1 Ca 2.76
4 Ru 0.0000 0.5000 0.0175  6 Ru 2.61-2.75, 4 Ca 2.70-2.85
5 Ru 0.0000 0.7727 0.3712  8 Ru 2.61-2.81, 1 Ca 2.76
6 Ru 0.5000 0.0000 0.5175  6 Ru 2.61-2.75, 4 Ca 2.70-2.85
7 Ru 0.5000 0.2727 0.8712  8 Ru 2.61-2.81, 1 Ca 2.76
8 Ru 0.5000 0.7273 0.8712  8 Ru 2.61-2.81, 1 Ca 2.76


BaSr2Ca | SCAN | PBEsol geometry

ΔH_f (0 K)	0.032	eV/atom

a b c (Å): 4.7168 4.7168 9.0365
angles (deg): 90.00 90.00 90.00
With the nearest neighbours (Å) after each atom.
Sites, in units of the cell vectors:
1 Ba 0.0000 0.0000 0.0000  4 Ca 4.01, 5 Sr 4.12-4.32
2 Sr 0.0000 0.0000 0.4778  4 Ca 3.94, 4 Sr 4.05, 1 Ba 4.32
3 Sr 0.5000 0.5000 0.7320  4 Sr 4.05, 4 Ba 4.12, 1 Ca 4.39
4 Ca 0.5000 0.5000 0.2459  5 Sr 3.94-4.39, 4 Ba 4.01


KCr3Co | SCAN | PBEsol geometry

ΔH_f (0 K)	0.998	eV/atom

a b c (Å): 4.6270 4.6270 4.6270
angles (deg): 90.00 90.00 90.00
With the nearest neighbours (Å) after each atom.
Sites, in units of the cell vectors:
1 K 0.0000 0.0000 0.0000  12 Cr 3.27
2 Cr 0.0000 0.5000 0.5000  2 Co 2.31
3 Cr 0.5000 0.0000 0.5000  2 Co 2.31
4 Cr 0.5000 0.5000 0.0000  2 Co 2.31
5 Co 0.5000 0.5000 0.5000  6 Cr 2.31


BaAl2Ag2 | SCAN | PBEsol geometry

ΔH_f (0 K)	-0.274	eV/atom

a b c (Å): 4.4296 4.4296 11.7730
angles (deg): 90.00 90.00 90.00
With the nearest neighbours (Å) after each atom.
Sites, in units of the cell vectors:
1 Ba 0.0000 0.0000 0.0000  8 Ag 3.47, 8 Al 3.68
2 Ba 0.5000 0.5000 0.5000  8 Ag 3.47, 8 Al 3.68
3 Al 0.0000 0.5000 0.2500  4 Ag 2.64
4 Al 0.0000 0.5000 0.7500  4 Ag 2.64
5 Al 0.5000 0.0000 0.2500  4 Ag 2.64
6 Al 0.5000 0.0000 0.7500  4 Ag 2.64
7 Ag 0.0000 0.0000 0.3726  4 Al 2.64
8 Ag 0.0000 0.0000 0.6274  4 Al 2.64
9 Ag 0.5000 0.5000 0.1274  4 Al 2.64
10 Ag 0.5000 0.5000 0.8726  4 Al 2.64


YOs2Br | SCAN | PBEsol geometry

formation energy without anion corrections	0.294	eV per atom

a b c (Å): 3.7956 5.0576 8.7987
angles (deg): 90.00 90.00 90.00
With the nearest neighbours (Å) after each atom.
Sites, in units of the cell vectors:
1 Y 0.0000 0.0000 0.0000  6 Os 2.97-3.17, 4 Br 3.08-3.26
2 Y 0.5000 0.5000 0.5000  6 Os 2.97-3.17, 4 Br 3.08-3.26
3 Os 0.0000 0.0000 0.5260  2 Os 2.32
4 Os 0.0000 0.5000 0.1769  2 Os 2.32
5 Os 0.5000 0.0000 0.6769  2 Os 2.32
6 Os 0.5000 0.5000 0.0260  2 Os 2.32
7 Br 0.0000 0.5000 0.8007  2 Os 2.74
8 Br 0.5000 0.0000 0.3007  2 Os 2.74